Record 1
Material: NdSmEr2Hg4
Method: DFT, GGA-PBE
State: relaxed

a = 5.314 Å, b = 5.314 Å, c = 9.211 Å
α = 73.23°, β = 73.23°, γ = 60.00°
Last column: magnetic moment on the atom in μB.
Atoms (fractional coordinates):
Er (0.250, 0.250, 0.251)  0.15
Er (0.750, 0.750, 0.749)  0.15
Sm (0.500, 0.500, 0.500)  0.10
Hg (0.624, 0.624, 0.127)  0.01
Hg (0.874, 0.874, 0.377)  0.01
Hg (0.376, 0.376, 0.873)  0.01
Hg (0.126, 0.126, 0.623)  0.01
Nd (0.000, 0.000, 0.000)  0.12

## Properties
**Energy of formation from the pure elements**: -0.467 eV/atom
**Size of the total moment**: 0.9 μB/f.u.

=====

Record 2
Material: NdEr2Sn2Hg2
Method: DFT, GGA-PBE
State: relaxed

a = 5.000 Å, b = 5.000 Å, c = 9.322 Å
α = 74.44°, β = 74.44°, γ = 60.00°
Atoms (fractional coordinates):
Hg (0.565, 0.565, 0.305)
Hg (0.435, 0.435, 0.695)
Sn (0.267, 0.267, 0.199)
Sn (0.733, 0.733, 0.801)
Nd (0.000, 0.000, 0.000)
Er (0.132, 0.132, 0.605)
Er (0.868, 0.868, 0.395)

## Properties
**Energy of formation from the pure elements**: -0.336 eV/atom
**Size of the total moment**: 0.0 μB/f.u.

=====

Record 3
Material: NdErSnHg
Method: DFT, GGA-PBE
State: relaxed

a = 3.819 Å, b = 3.819 Å, c = 7.441 Å
α = 90.00°, β = 90.00°, γ = 90.00°
Atoms (fractional coordinates):
Hg (0.000, 0.000, 0.338)
Nd (0.500, 0.500, 0.605)
Sn (0.000, 0.000, 0.872)
Er (0.500, 0.500, 0.113)

## Properties
**Energy of formation from the pure elements**: -0.562 eV/atom
**Size of the total moment**: 0.0 μB/f.u.

=====

Record 4
Material: NdErSnHg
Method: DFT, GGA-PBE
State: relaxed

a = 5.349 Å, b = 5.349 Å, c = 5.349 Å
α = 60.00°, β = 60.00°, γ = 60.00°
Atoms (fractional coordinates):
Hg (0.750, 0.750, 0.750)
Nd (0.500, 0.500, 0.500)
Er (0.000, 0.000, 0.000)
Sn (0.250, 0.250, 0.250)

## Properties
**Energy of formation from the pure elements**: -0.562 eV/atom
**Size of the total moment**: 0.0 μB/f.u.

=====

Record 5
Material: TbNdErHg
Method: DFT, GGA-PBE
State: relaxed

a = 3.645 Å, b = 3.645 Å, c = 8.884 Å
α = 90.00°, β = 90.00°, γ = 90.00°
Atoms (fractional coordinates):
Hg (0.000, 0.000, 0.566)
Er (0.500, 0.500, 0.356)
Nd (0.000, 0.000, 0.074)
Tb (0.500, 0.500, 0.789)

## Properties
**Energy of formation from the pure elements**: -0.233 eV/atom
**E above lowest polymorph**: 0.0 meV per atom
**Size of the total moment**: 0.0 μB/f.u.

=====

Record 6
Material: Tb2NdErHg4
Method: DFT, GGA-PBE
State: relaxed

a = 5.294 Å, b = 5.294 Å, c = 9.235 Å
α = 73.34°, β = 73.34°, γ = 60.00°
Last column: magnetic moment on the atom in μB.
Atoms (fractional coordinates):
Hg (0.622, 0.622, 0.134)  0.02
Hg (0.127, 0.127, 0.619)  0.01
Hg (0.378, 0.378, 0.866)  0.02
Hg (0.873, 0.873, 0.381)  0.01
Er (0.500, 0.500, 0.500)  0.08
Tb (0.249, 0.249, 0.252)  0.16
Tb (0.751, 0.751, 0.748)  0.16
Nd (0.000, 0.000, 0.000)  0.18

## Properties
**Energy of formation from the pure elements**: -0.471 eV/atom
**Size of the total moment**: 1.0 μB/f.u.

=====

Q: Which formula does entry 4 have?
A: NdErSnHg

=====

Copy entry 3 word for word.
Material: NdErSnHg
Method: DFT, GGA-PBE
State: relaxed

a = 3.819 Å, b = 3.819 Å, c = 7.441 Å
α = 90.00°, β = 90.00°, γ = 90.00°
Atoms (fractional coordinates):
Hg (0.000, 0.000, 0.338)
Nd (0.500, 0.500, 0.605)
Sn (0.000, 0.000, 0.872)
Er (0.500, 0.500, 0.113)

## Properties
**Energy of formation from the pure elements**: -0.562 eV/atom
**Size of the total moment**: 0.0 μB/f.u.

=====

Q: What is the formula in the third record?
A: NdErSnHg